Here is a geometry-optimized NbHO2F structure from Alexandria. Energies are from GGA-PBE.

Lattice parameters (Å, degrees): 3.730 3.730 2.742 90.00 90.00 90.00
Atoms (fractional coordinates):
F: 0.000 0.000 0.500
O: 0.500 0.000 0.000
Nb: 0.500 0.500 0.500
H: 0.000 0.000 0.000
O: 0.000 0.500 0.000

N(E_F) = 0.894 states/eV per cell
Size of the total moment = 0.00 μB per cell
DFT total energy = -6.0565 eV per atom
Theoretical density = 6.3 g/cm³

=====

Here is a geometry-optimized Rb2NbHF6 structure from Alexandria. Energies are from GGA-PBE.

Lattice parameters (Å, degrees): 6.402 6.402 6.480 60.40 60.40 90.00
Atoms (fractional coordinates):
H: 0.500 0.500 0.000
Rb: 0.250 0.750 0.500
F: 0.781 0.781 0.439
Nb: 0.000 0.000 0.000
F: 0.221 0.221 0.000
F: 0.219 0.219 0.561
F: 0.779 0.779 0.000
F: 0.221 0.779 0.000
F: 0.779 0.221 0.000
Rb: 0.750 0.250 0.500

N(E_F) = 7.716 states/eV per cell
Size of the total moment = 2.00 μB per cell
DFT total energy = -5.0561 eV per atom
Theoretical density = 3.3 g/cm³

=====

Question: Number 2 is which compound?
Answer: Rb2NbHF6

=====

Question: Among the records above, which one has the highest size of the total moment?
Answer: Rb2NbHF6